The following is a PBE calculation of a relaxed structure of La3Mg7Cu4, from Alexandria.

The calculation puts the magnetization at 0.00 μB per cell. Its calculated formation energy is -12.9 kJ/mol of atoms. The calculation puts the density of states at the Fermi level at 9.6 states/eV/f.u. As for the crystal system: monoclinic.

The structure belongs to space group C2/m (No. 12); the cell edges are 16.599, 4.409 and 10.382 Å and the angles 90.00°, 123.15° and 90.00°. The inequivalent atoms are La at (0.000, 0.000, 0.000), La at (0.195, 0.500, 0.709), Mg at (0.000, 0.000, 0.500), Mg at (0.011, 0.500, 0.297), Mg at (0.165, 0.000, 0.430), Mg at (0.177, 0.500, 0.014), Cu at (0.116, 0.000, 0.826) and Cu at (0.162, 0.500, 0.266).